Entry 1:
# InIO5 (PBE, relaxed)
data_InIO5
_cell_length_a 8.5358
_cell_length_b 6.1963
_cell_length_c 7.6529
_cell_angle_alpha 90.00
_cell_angle_beta 115.30
_cell_angle_gamma 90.00
_symmetry_space_group_name_H-M 'C 1 2/c 1'
_symmetry_Int_Tables_number 15
_symmetry_space_group_name_Hall '-C 2yc'
loop_
_atom_site_label
_atom_site_type_symbol
_atom_site_fract_x
_atom_site_fract_y
_atom_site_fract_z
In1 In 0.0000 0.0212 0.2500
I1 I 0.0000 0.5000 0.0000
O1 O 0.0000 0.3957 0.2500
O2 O 0.0543 0.2062 0.9844
O3 O 0.2290 0.4222 0.6325
# Formation energy (no corrections), eV per atom: -0.55
# Total moment, μB/f.u.: 0.0
# Uncorrected energy, eV per cell: -131.64


Entry 2:
# La6PmYHo2 (PBE, relaxed)
data_La6PmYHo2
_cell_length_a 11.3779
_cell_length_b 7.2175
_cell_length_c 8.9876
_cell_angle_alpha 90.00
_cell_angle_beta 103.63
_cell_angle_gamma 90.00
_symmetry_space_group_name_H-M 'C 1 2/m 1'
_symmetry_Int_Tables_number 12
_symmetry_space_group_name_Hall '-C 2y'
loop_
_atom_site_label
_atom_site_type_symbol
_atom_site_fract_x
_atom_site_fract_y
_atom_site_fract_z
La1 La 0.1349 0.0000 0.4337
La2 La 0.1810 0.2799 0.8023
Pm1 Pm 0.0000 0.0000 0.0000
Y1 Y 0.0000 0.5000 0.5000
Ho1 Ho 0.0892 0.5000 0.1645
# Total moment, μB/f.u.: 0.0
# Uncorrected energy, eV per cell: -96.06


Entry 3:
# PrHoSc2Sb4 (PBE, relaxed)
data_PrHoSc2Sb4
_cell_length_a 7.4606
_cell_length_b 4.3255
_cell_length_c 7.4854
_cell_angle_alpha 90.00
_cell_angle_beta 109.56
_cell_angle_gamma 90.00
_symmetry_space_group_name_H-M 'P 1 2/m 1'
_symmetry_Int_Tables_number 10
_symmetry_space_group_name_Hall '-P 2y'
loop_
_atom_site_label
_atom_site_type_symbol
_atom_site_fract_x
_atom_site_fract_y
_atom_site_fract_z
Pr1 Pr 0.0000 0.0000 0.0000
Ho1 Ho 0.0000 0.5000 0.5000
Sc1 Sc 0.5000 0.0000 0.5000
Sc2 Sc 0.5000 0.5000 0.0000
Sb1 Sb 0.2677 0.0000 0.7502
Sb2 Sb 0.2720 0.5000 0.2630
# Formation energy (no corrections), eV per atom: -1.03
# Total moment, μB/f.u.: 0.0
# Uncorrected energy, eV per cell: -46.73


Entry 4:
# SrMnSbTe2 (PBE, relaxed)
data_SrMnSbTe2
_cell_length_a 5.4747
_cell_length_b 5.4747
_cell_length_c 5.1109
_cell_angle_alpha 90.00
_cell_angle_beta 90.00
_cell_angle_gamma 90.00
_symmetry_space_group_name_H-M 'P 4/m m m'
_symmetry_Int_Tables_number 123
_symmetry_space_group_name_Hall '-P 4 2'
loop_
_atom_site_label
_atom_site_type_symbol
_atom_site_fract_x
_atom_site_fract_y
_atom_site_fract_z
Sr1 Sr 0.0000 0.0000 0.0000
Mn1 Mn 0.5000 0.5000 0.5000
Sb1 Sb 0.5000 0.5000 0.0000
Te1 Te 0.0000 0.5000 0.5000
# Formation energy (no corrections), eV per atom: -0.40
# Total moment, μB/f.u.: 3.3
# Uncorrected energy, eV per cell: -23.27


Entry 5:
# Dy3Pb2O (PBE, relaxed)
data_Dy3Pb2O
_cell_length_a 10.7085
_cell_length_b 8.6593
_cell_length_c 6.5284
_cell_angle_alpha 90.00
_cell_angle_beta 90.00
_cell_angle_gamma 90.00
_symmetry_space_group_name_H-M 'C m c m'
_symmetry_Int_Tables_number 63
_symmetry_space_group_name_Hall '-C 2c 2'
loop_
_atom_site_label
_atom_site_type_symbol
_atom_site_fract_x
_atom_site_fract_y
_atom_site_fract_z
Dy1 Dy 0.0000 0.1648 0.2500
Dy2 Dy 0.1565 0.5000 0.0000
Pb1 Pb 0.1461 0.1865 0.7500
O1 O 0.0000 0.4259 0.2500
# Formation energy (no corrections), eV per atom: -1.20
# Total moment, μB/f.u.: 0.0
# Uncorrected energy, eV per cell: -133.57


Entry 6:
# Tb2Ni2Pb (PBE, relaxed)
data_Tb2Ni2Pb
_cell_length_a 4.8076
_cell_length_b 4.8076
_cell_length_c 15.2891
_cell_angle_alpha 90.00
_cell_angle_beta 90.00
_cell_angle_gamma 120.00
_symmetry_space_group_name_H-M 'R -3 m'
_symmetry_Int_Tables_number 166
_symmetry_space_group_name_Hall '-R 3 2"'
loop_
_atom_site_label
_atom_site_type_symbol
_atom_site_fract_x
_atom_site_fract_y
_atom_site_fract_z
Tb1 Tb 0.0000 0.0000 0.2265
Ni1 Ni 0.0000 0.0000 0.4198
Pb1 Pb 0.0000 0.0000 0.0000
# Total moment, μB/f.u.: 0.0
# Uncorrected energy, eV per cell: -78.61


Entry 7:
# CaTc2Ir2 (PBE, relaxed)
data_CaTc2Ir2
_cell_length_a 4.1395
_cell_length_b 4.1395
_cell_length_c 10.9009
_cell_angle_alpha 90.00
_cell_angle_beta 90.00
_cell_angle_gamma 90.00
_symmetry_space_group_name_H-M 'I 4/m m m'
_symmetry_Int_Tables_number 139
_symmetry_space_group_name_Hall '-I 4 2'
loop_
_atom_site_label
_atom_site_type_symbol
_atom_site_fract_x
_atom_site_fract_y
_atom_site_fract_z
Ca1 Ca 0.0000 0.0000 0.0000
Tc1 Tc 0.0000 0.5000 0.2500
Ir1 Ir 0.0000 0.0000 0.3881
# Total moment, μB/f.u.: 0.0
# Uncorrected energy, eV per cell: -80.81


Entry 8:
# NaLi2Cu (PBE, relaxed)
data_NaLi2Cu
_cell_length_a 2.9982
_cell_length_b 2.9982
_cell_length_c 8.6065
_cell_angle_alpha 90.00
_cell_angle_beta 90.00
_cell_angle_gamma 90.00
_symmetry_space_group_name_H-M 'P 4/m m m'
_symmetry_Int_Tables_number 123
_symmetry_space_group_name_Hall '-P 4 2'
loop_
_atom_site_label
_atom_site_type_symbol
_atom_site_fract_x
_atom_site_fract_y
_atom_site_fract_z
Na1 Na 0.0000 0.0000 0.0000
Li1 Li 0.5000 0.5000 0.3180
Cu1 Cu 0.0000 0.0000 0.5000
# Total moment, μB/f.u.: 0.0
# Uncorrected energy, eV per cell: -8.99


total moment of number 5 (Dy3Pb2O)?
0.0 μB/f.u.